(1)
SCAN ScNb3Ge, PBEsol geometry; total magnetic moment = 0.00 μB/atom; final energy = -124.709 eV per cell; DFT formation energy = 1.60 eV/atom
1.0
4.672 0.000 0.000
0.000 4.672 0.000
0.000 0.000 4.672
Sc Nb Ge
1 3 1
Direct
0.000 0.000 0.000
0.000 0.000 0.500
0.000 0.500 0.000
0.500 0.000 0.000
0.500 0.500 0.500

***

(2)
SCAN Sc2TiNbGe, PBEsol geometry; total magnetic moment = 0.00 μB/atom; final energy = -92.857 eV per cell; DFT formation energy = 0.77 eV/atom
1.0
4.978 0.000 0.000
0.000 4.978 0.000
0.000 0.000 4.666
Sc Ti Nb Ge
2 1 1 1
Direct
0.000 0.500 0.000
0.500 0.000 0.000
0.000 0.000 0.500
0.000 0.000 0.000
0.500 0.500 0.500

***

- What is the formula in the second record?
  Sc2TiNbGe